1.
Compound: YCrH2N
Source: Alexandria via LeMat-Bulk
Functional: PBE
Structure: optimized geometry

Cell: 3.5263 3.5263 3.8123 Å, 90.00 90.00 90.00°
Site moments in Bohr magnetons follow the coordinates.
Element x y z (fractional)
Y1 0.5000 0.5000 0.5000  -0.03
Cr1 0.0000 0.0000 0.0000  0.80
H1 0.0000 0.5000 0.0000  -0.01
H2 0.5000 0.0000 0.0000  -0.01
N1 0.0000 0.0000 0.5000  -0.02

Values from the calculation:
electronic total energy = -6.882 eV per atom
space-group type = P4/mmm



2.
Compound: Na3CrH
Source: Alexandria via LeMat-Bulk
Functional: PBE
Structure: optimized geometry

Cell: 5.8832 5.8832 5.8832 Å, 90.00 90.00 90.00°
Site moments in Bohr magnetons follow the coordinates.
Element x y z (fractional)
Cr1 0.0000 0.0000 0.0000  4.30
H1 0.5000 0.5000 0.5000  0.00
Na1 0.0000 0.5000 0.0000  0.04
Na2 0.0000 0.0000 0.5000  0.01
Na3 0.5000 0.0000 0.0000  0.07

Values from the calculation:
energy above the lowest structure with this stoichiometry = 2.787 eV/f.u.
space-group type = Pm-3m



3.
Compound: NaCrH3
Source: Alexandria via LeMat-Bulk
Functional: PBE
Structure: optimized geometry

Cell: 5.2113 5.2113 5.4586 Å, 61.48 61.49 60.00°
Site moments in Bohr magnetons follow the coordinates.
Element x y z (fractional)
Na1 0.4216 0.5482 0.5264  0.01
Na2 0.6531 0.7797 0.8317  0.00
Cr1 0.0787 0.2054 0.5548  3.14
Cr2 0.8818 0.0085 0.1456  3.13
H1 0.9550 0.0816 0.3888  -0.03
H2 0.7125 0.2433 0.8453  -0.03
H3 0.1166 0.8392 0.8453  -0.03
H4 0.1166 0.2433 0.8453  -0.03
H5 0.9549 0.6189 0.3888  -0.03
H6 0.4923 0.0816 0.3888  -0.03

Values from the calculation:
energy above the lowest structure with this stoichiometry = 0.351 eV/f.u.
space-group type = R3m



4.
Compound: Na3CrH
Source: Alexandria via LeMat-Bulk
Functional: PBE
Structure: optimized geometry

Cell: 4.8635 4.8635 4.8635 Å, 90.00 90.00 90.00°
Site moments in Bohr magnetons follow the coordinates.
Element x y z (fractional)
Cr1 0.5000 0.5000 0.5000  4.24
H1 0.0000 0.0000 0.0000  0.03
Na1 0.0000 0.5000 0.0000  0.03
Na2 0.0000 0.0000 0.5000  0.03
Na3 0.5000 0.0000 0.0000  0.01

Values from the calculation:
energy above the lowest structure with this stoichiometry = 0.000 eV/f.u.
space-group type = Pm-3m



5.
Compound: NaCrH3
Source: Alexandria via LeMat-Bulk
Functional: PBE
Structure: optimized geometry

Cell: 3.7325 3.7325 3.7325 Å, 90.00 90.00 90.00°
Site moments in Bohr magnetons follow the coordinates.
Element x y z (fractional)
Cr1 0.5000 0.5000 0.5000  3.92
H1 0.0000 0.5000 0.0000  -0.08
H2 0.0000 0.0000 0.5000  -0.11
H3 0.5000 0.0000 0.0000  -0.05
Na1 0.0000 0.0000 0.0000  -0.01

Values from the calculation:
energy above the lowest structure with this stoichiometry = 4.148 eV/f.u.
space-group type = Pm-3m



6.
Compound: NaCrH3
Source: Alexandria via LeMat-Bulk
Functional: PBE
Structure: optimized geometry

Cell: 3.6690 3.6690 3.6690 Å, 90.00 90.00 90.00°
Site moments in Bohr magnetons follow the coordinates.
Element x y z (fractional)
Cr1 0.0000 0.0000 0.0000  3.42
H1 0.0000 0.5000 0.0000  -0.03
H2 0.0000 0.0000 0.5000  -0.04
H3 0.5000 0.0000 0.0000  -0.01
Na1 0.5000 0.5000 0.5000  0.01

Values from the calculation:
energy above the lowest structure with this stoichiometry = 0.000 eV/f.u.
space-group type = Pm-3m



7.
Compound: Na2Cr3H10
Source: Alexandria via LeMat-Bulk
Functional: PBE
Structure: optimized geometry

Cell: 5.6194 6.3039 8.3678 Å, 118.43 109.62 90.00°
Site moments in Bohr magnetons follow the coordinates.
Element x y z (fractional)
Na1 0.7112 0.3112 0.4224  0.00
Na2 0.2888 0.6888 0.5776  0.00
Na3 0.6177 0.6946 0.2354  0.00
Na4 0.3823 0.3054 0.7646  0.00
Cr1 0.9601 0.5960 0.9201  0.51
Cr2 0.0399 0.4040 0.0799  0.51
Cr3 0.8385 0.0262 0.6771  2.75
Cr4 0.1615 0.9738 0.3229  2.75
Cr5 0.7612 0.0000 0.0000  1.41
Cr6 0.2388 0.0000 0.0000  1.41
H1 0.6207 0.0203 0.7917  -0.02
H2 0.1711 0.0203 0.7917  -0.02
H3 0.3793 0.9797 0.2083  -0.02
H4 0.8289 0.9797 0.2083  -0.02
H5 0.6654 0.6789 0.8451  -0.01
H6 0.1797 0.6789 0.8451  -0.01
H7 0.3346 0.3211 0.1549  -0.01
H8 0.8203 0.3211 0.1549  -0.01
H9 0.9207 0.8646 0.8414  -0.03
H10 0.0793 0.1354 0.1586  -0.03
H11 0.8506 0.3316 0.7012  -0.01
H12 0.1494 0.6684 0.2988  -0.01
H13 0.7642 0.7165 0.5285  -0.03
H14 0.2358 0.2835 0.4715  -0.03
H15 0.4715 0.8334 0.9431  -0.02
H16 0.5285 0.1666 0.0569  -0.02
H17 0.7636 0.5000 0.0000  -0.01
H18 0.2364 0.5000 0.0000  -0.01
H19 0.5000 0.0000 0.5000  -0.03
H20 0.0000 0.0000 0.5000  -0.03

Values from the calculation:
electronic total energy = -4.316 eV per atom
space-group type = C2/m



8.
Compound: Na4CrH6
Source: Alexandria via LeMat-Bulk
Functional: PBE
Structure: optimized geometry

Cell: 5.4433 5.4952 11.6698 Å, 76.37 76.51 60.31°
Site moments in Bohr magnetons follow the coordinates.
Element x y z (fractional)
Na1 0.4564 0.8974 0.6463  0.01
Na2 0.9999 0.3974 0.1463  0.01
Na3 0.9254 0.2247 0.4571  0.01
Na4 0.3928 0.7247 0.9571  0.01
Na5 0.1476 0.5755 0.6007  0.01
Na6 0.6762 0.0755 0.1007  0.01
Na7 0.7594 0.1155 0.8114  0.01
Na8 0.3137 0.6155 0.3114  0.01
Cr1 0.6415 0.9161 0.3751  3.33
Cr2 0.0673 0.4161 0.8751  3.33
H1 0.3512 0.5133 0.1402  0.01
H2 0.9953 0.0133 0.6402  0.01
H3 0.4033 0.7906 0.4540  -0.03
H4 0.3521 0.2906 0.9540  -0.03
H5 0.4863 0.1896 0.4654  -0.02
H6 0.8587 0.6896 0.9654  -0.02
H7 0.9798 0.1466 0.9603  -0.02
H8 0.9132 0.6466 0.4603  -0.02
H9 0.8607 0.0699 0.2871  -0.02
H10 0.7822 0.5699 0.7871  -0.02
H11 0.3184 0.2468 0.7566  -0.02
H12 0.6781 0.7468 0.2566  -0.02

Values from the calculation:
electronic total energy = -3.270 eV per atom
space-group type = Cc



9.
Compound: NaCrH3
Source: Alexandria via LeMat-Bulk
Functional: PBE
Structure: optimized geometry

Cell: 3.6773 4.6391 5.8888 Å, 105.02 90.00 113.35°
Site moments in Bohr magnetons follow the coordinates.
Element x y z (fractional)
Na1 0.3907 0.7814 0.6295  0.00
Na2 0.6093 0.2186 0.3705  0.00
Cr1 0.1642 0.3285 0.9552  0.34
Cr2 0.8358 0.6715 0.0448  0.34
H1 0.9444 0.8888 0.8325  -0.01
H2 0.0556 0.1112 0.1675  -0.01
H3 0.6285 0.2569 0.9460  0.00
H4 0.3715 0.7431 0.0540  0.00
H5 0.8694 0.7389 0.3382  0.00
H6 0.1306 0.2611 0.6618  0.00

Values from the calculation:
energy above the lowest structure with this stoichiometry = 0.141 eV/f.u.
space-group type = C2/m